# 1
The following is a PBE-GGA calculation of a relaxed NaCd11Rh crystal, from the Alexandria database.

## Properties
E ... -1.4977 eV/atom
Magnetization ... 0.0 μB/f.u.
Energy of formation from the pure elements ... -56 meV/atom

```
NaCd11Rh
1.0
1.825 4.969 2.012
-2.886 1.489 6.941
6.566 -0.833 4.068
Na Cd Rh
1 11 1
Cartesian
0.000 0.000 0.000
1.295 1.691 2.940
4.210 3.933 10.081
-0.042 3.408 7.267
5.547 2.217 5.755
3.180 2.194 7.865
2.325 3.431 5.157
5.099 4.824 7.171
0.406 0.801 5.851
-1.443 0.744 3.471
4.196 2.068 3.040
3.283 -0.416 2.034
-0.531 3.229 4.477
```

# 2
The following is a PBE-GGA calculation of a relaxed KGeBr3 crystal, from the Alexandria database.

## Properties
E ... -3.1650 eV/atom
Magnetization ... 0.0 μB/f.u.
Formation energy without anion corrections ... -23.5 kcal/mol of atoms

```
KGeBr3
1.0
5.893 0.001 0.001
0.000 5.705 0.007
0.006 -0.657 11.721
K Ge Br
2 2 6
Cartesian
2.113 1.400 10.851
3.455 1.728 4.992
5.094 4.716 1.314
0.464 4.381 7.177
5.132 2.153 0.905
2.549 4.893 1.118
3.010 4.559 6.983
0.380 4.303 9.700
5.178 4.635 3.837
0.428 1.817 6.766
```

# 3
The following is a PBE-GGA calculation of a relaxed Pr3Sm3Co4 crystal, from the Alexandria database.

## Properties
E ... -5.6983 eV/atom
Magnetization ... 0.0 μB/f.u.
Energy of formation from the pure elements ... -6 meV/atom

```
Pr3Sm3Co4
1.0
-3.657 -0.052 2.190
-0.961 -7.178 -1.776
3.716 -1.967 6.158
Pr Sm Co
3 3 4
Cartesian
3.232 -5.565 5.264
1.852 -0.985 3.069
1.097 -2.874 5.912
-1.980 -6.302 0.693
-0.922 -3.040 2.536
0.018 -6.161 4.031
0.855 -5.155 1.305
1.844 -4.052 2.983
2.485 -8.139 3.955
0.319 -0.951 0.511
```

# 4
The following is a PBE-GGA calculation of a relaxed Dy2Si7Ir12 crystal, from the Alexandria database.

## Properties
E ... -8.1492 eV/atom
Magnetization ... 0.0 μB/f.u.
Formation energy without anion corrections ... -19.4 kcal/mol of atoms

```
Dy2Si7Ir12
1.0
-0.638 0.176 -3.836
8.618 -4.252 -1.630
-8.001 -5.460 1.081
Dy Si Ir
2 7 12
Cartesian
-2.622 -5.013 -0.786
2.600 -4.522 -3.599
-0.319 0.088 -1.918
5.145 -5.300 -2.081
2.411 -2.310 -1.488
1.203 -6.222 -1.467
-5.167 -4.236 -2.304
-2.432 -7.226 -2.897
-1.225 -3.313 -2.918
4.673 -2.930 -1.896
0.617 -3.924 -1.266
3.469 -6.978 -1.882
-4.694 -6.606 -2.489
-0.638 -5.612 -3.119
-3.490 -2.558 -2.504
-1.253 -1.883 -0.880
-5.976 -5.396 -0.255
-0.641 -7.759 -1.252
1.231 -7.653 -3.505
5.955 -4.140 -4.130
0.620 -1.776 -3.133
```

# 5
The following is a PBE-GGA calculation of a relaxed Li2Ag2Pd3 crystal, from the Alexandria database.

## Properties
Energy above the lowest structure with this stoichiometry ... 0.0000 eV/atom
E ... -3.7681 eV/atom
Magnetization ... 0.0 μB/f.u.
Energy of formation from the pure elements ... -181 meV/atom

```
Li2Ag2Pd3
1.0
4.651 -1.111 0.000
-2.781 5.570 0.000
0.000 0.000 9.435
Li Ag Pd
4 4 6
Cartesian
-0.373 3.612 3.037
-1.473 4.188 7.755
3.343 0.271 1.680
2.243 0.847 6.397
4.226 -0.952 6.293
0.510 2.389 7.859
1.359 2.070 1.576
-2.357 5.411 3.141
0.935 2.230 4.717
0.000 0.000 0.000
-0.718 3.814 0.639
-1.128 3.985 5.357
2.998 0.474 4.078
2.588 0.645 8.795
```

# 6
The following is a PBE-GGA calculation of a relaxed NiS6I crystal, from the Alexandria database.

## Properties
E ... -3.8729 eV/atom
Magnetization ... 0.0 μB/f.u.
Formation energy without anion corrections ... 3.2 kcal/mol of atoms

```
NiS6I
1.0
-4.307 -2.585 1.352
4.999 -0.409 8.661
-0.408 2.372 9.715
Ni S I
1 6 1
Cartesian
-2.153 -1.292 0.676
-1.494 -0.757 10.321
-1.729 -0.061 4.586
1.779 0.135 9.408
-0.647 -1.699 4.491
2.014 -0.561 15.142
0.932 1.077 15.238
0.000 0.000 0.000
```

# 7
The following is a PBE-GGA calculation of a relaxed Li4AcIn2 crystal, from the Alexandria database.

## Properties
E ... -2.7158 eV/atom
Magnetization ... 0.0 μB/f.u.
Energy of formation from the pure elements ... -253 meV/atom

```
Li4AcIn2
1.0
-1.309 4.538 1.227
-2.942 -2.806 7.242
7.441 1.204 3.489
Li Ac In
8 2 4
Cartesian
2.360 0.150 1.964
2.139 -1.753 8.767
3.383 2.588 3.744
-0.194 0.348 8.214
4.539 2.176 6.502
-1.350 0.760 5.455
-0.309 -0.881 2.929
4.808 -0.722 7.803
-0.655 2.269 0.613
2.249 -0.801 5.366
5.218 0.345 4.292
-0.719 -1.948 6.439
2.558 1.125 8.276
0.631 1.811 3.681
```

# 8
The following is a PBE-GGA calculation of a relaxed In2Sb2Te crystal, from the Alexandria database.

## Properties
Energy above the lowest structure with this stoichiometry ... 0.1149 eV/atom
E ... -3.2195 eV/atom
Magnetization ... 0.0 μB/f.u.
Formation energy without anion corrections ... 3.5 kcal/mol of atoms

```
In2Sb2Te
1.0
-1.035 0.965 -4.131
3.441 -2.297 -1.398
-3.159 -6.969 -3.144
Sb Te In
2 1 2
Cartesian
0.296 -1.977 -2.844
-1.049 -6.325 -5.830
0.000 0.000 0.000
-1.495 -3.335 -5.020
0.742 -4.966 -3.653
```

# 9
The following is a PBE-GGA calculation of a relaxed AlRu2Rh crystal, from the Alexandria database.

## Properties
E ... -7.6800 eV/atom
Magnetization ... 0.0 μB/f.u.
Energy of formation from the pure elements ... -269 meV/atom

```
AlRu2Rh
1.0
4.675 -0.006 0.000
1.536 4.416 0.000
-3.106 -2.205 2.711
Ru Rh Al
2 1 1
Cartesian
0.000 0.000 0.000
0.768 2.208 1.356
2.338 -0.003 1.356
3.106 2.205 0.000
```

# 10
The following is a PBE-GGA calculation of a relaxed Li2IrRh crystal, from the Alexandria database.

## Properties
Energy above the lowest structure with this stoichiometry ... 0.5768 eV/atom
E ... -4.6498 eV/atom
Magnetization ... 0.0 μB/f.u.
Energy of formation from the pure elements ... 360 meV/atom

```
Li2IrRh
1.0
-1.305 6.398 -1.511
-2.406 -1.899 -5.960
-4.116 2.021 -2.751
Ir Rh Li
2 2 4
Cartesian
0.000 0.000 0.000
-3.638 5.334 -3.999
-1.855 2.250 -3.736
-4.188 1.186 -6.224
-2.141 4.244 -2.372
-2.700 0.141 -4.607
-4.487 3.196 -4.886
-6.325 5.460 -8.580
```

# 11
The following is a PBE-GGA calculation of a relaxed SmHo5As6 crystal, from the Alexandria database.

## Properties
E ... -6.1510 eV/atom
Magnetization ... 0.0 μB/f.u.
Energy of formation from the pure elements ... -1526 meV/atom

```
SmHo5As6
1.0
-1.958 -3.452 5.930
-3.973 -0.517 -5.904
5.552 -4.036 -1.947
As Ho Sm
6 5 1
Cartesian
0.243 -2.518 1.509
0.058 -6.477 0.559
2.651 -4.024 -1.450
-3.030 -3.980 -0.471
-0.437 -1.528 -2.480
-0.622 -5.487 -3.430
0.484 -4.984 2.995
-2.629 -2.474 1.989
-0.190 -4.002 -0.961
-3.302 -1.494 -1.963
-0.863 -3.021 -4.916
0.000 0.000 0.000
```

# 12
The following is a PBE-GGA calculation of a relaxed Pr2ZnGa3 crystal, from the Alexandria database.

## Properties
Energy above the lowest structure with this stoichiometry ... 0.0037 eV/atom
E ... -3.9175 eV/atom
Magnetization ... 0.0 μB/f.u.
Energy of formation from the pure elements ... -599 meV/atom

```
Pr2ZnGa3
1.0
4.022 0.000 -1.071
-0.320 4.232 -1.203
0.019 0.022 8.163
Pr Zn Ga
2 1 3
Cartesian
0.489 0.559 1.835
3.393 1.580 4.657
1.560 4.082 5.859
2.621 2.997 1.758
1.999 2.285 -0.581
0.942 3.376 3.539
```

# 13
The following is a PBE-GGA calculation of a relaxed Ho8Ge3Te4S crystal, from the Alexandria database.

## Properties
E ... -5.5119 eV/atom
Magnetization ... 0.0 μB/f.u.
Formation energy without anion corrections ... -30.3 kcal/mol of atoms

```
Ho8Ge3Te4S
1.0
-4.249 4.700 -5.465
-7.070 -4.455 1.666
4.151 3.625 6.296
Ho Ge Te S
8 3 4 1
Cartesian
-2.040 1.476 6.031
-4.098 -0.320 2.911
-0.922 1.860 2.317
-4.146 3.805 3.323
-3.023 0.065 -0.825
-6.247 2.010 0.181
-3.071 4.191 -0.413
-5.129 2.394 -3.533
-5.660 0.123 -1.899
-3.584 1.935 1.249
-1.460 -0.415 3.981
-2.125 2.350 -2.732
-0.049 4.163 0.416
0.000 0.000 0.000
2.076 1.813 3.148
-3.535 -2.228 0.833
```

# 14
The following is a PBE-GGA calculation of a relaxed Na2NbO4 crystal, from the Alexandria database.

## Properties
E ... -6.3979 eV/atom
Magnetization ... 1.0 μB/f.u.
Formation energy without anion corrections ... -40.3 kcal/mol of atoms

```
Na2NbO4
1.0
5.490 0.000 0.000
0.000 8.566 -0.053
0.000 0.053 8.566
Na Nb O
8 4 16
Cartesian
2.745 1.497 1.478
0.000 1.531 7.069
0.000 7.087 1.444
2.745 7.122 7.034
2.745 5.788 2.760
0.000 5.806 5.735
2.745 2.831 5.753
0.000 2.813 2.778
2.059 0.026 4.283
4.804 0.026 4.283
3.431 4.283 -0.027
0.686 4.336 8.539
0.881 1.593 4.829
3.626 1.586 3.718
0.881 0.572 2.717
3.626 0.591 5.842
3.626 8.027 2.670
0.881 8.046 5.796
3.626 7.033 4.795
0.881 7.026 3.684
1.864 5.849 0.519
4.609 5.895 7.974
1.864 4.881 6.973
4.609 4.848 1.533
4.609 3.771 6.980
1.864 3.737 1.540
4.609 2.723 0.539
1.864 2.769 7.993
```

# 15
The following is a PBE-GGA calculation of a relaxed Cs3Ca2Br2Cl5 crystal, from the Alexandria database.

## Properties
E ... -3.7637 eV/atom
Magnetization ... 0.0 μB/f.u.
Formation energy without anion corrections ... -50.0 kcal/mol of atoms

```
Cs3Ca2Br2Cl5
1.0
5.466 0.000 0.000
0.000 5.466 0.000
-2.733 -2.733 14.589
Cs Ca Br Cl
3 2 2 5
Cartesian
0.000 0.000 5.264
2.733 2.733 9.325
0.000 0.000 0.000
0.000 0.000 11.839
2.733 2.733 2.750
2.733 2.733 5.657
0.000 0.000 8.932
2.733 0.000 2.706
0.000 2.733 11.883
0.000 2.733 2.706
2.733 0.000 11.883
2.733 2.733 0.000
```

# 16
The following is a PBE-GGA calculation of a relaxed RePb2Br crystal, from the Alexandria database.

## Properties
Energy above the lowest structure with this stoichiometry ... 0.1880 eV/atom
E ... -4.6394 eV/atom
Magnetization ... 0.0 μB/f.u.
Formation energy without anion corrections ... 17.2 kcal/mol of atoms

```
RePb2Br
1.0
-1.387 2.534 1.444
-1.465 0.778 -2.771
-7.390 -5.406 2.388
Pb Re Br
2 1 1
Cartesian
-7.361 -5.385 2.378
-3.710 -0.015 0.075
-3.845 -2.813 1.242
-6.411 -1.991 0.948
```

# 17
The following is a PBE-GGA calculation of a relaxed Zr9Tl2In crystal, from the Alexandria database.

## Properties
E ... -7.1878 eV/atom
Magnetization ... 0.0 μB/f.u.
Energy of formation from the pure elements ... -154 meV/atom

```
Zr9Tl2In
1.0
4.482 0.000 0.000
0.000 4.482 0.000
0.000 0.000 13.452
Zr Tl In
9 2 1
Cartesian
2.241 2.241 0.000
2.241 2.241 4.481
2.241 2.241 8.971
2.241 0.000 2.225
2.241 0.000 6.726
2.241 0.000 11.226
0.000 2.241 2.225
0.000 2.241 6.726
0.000 2.241 11.226
0.000 0.000 4.479
0.000 0.000 8.973
0.000 0.000 0.000
```

# 18
The following is a PBE-GGA calculation of a relaxed AcTlAgAu crystal, from the Alexandria database.

## Properties
E ... -3.5509 eV/atom
Magnetization ... 0.0 μB/f.u.
Energy of formation from the pure elements ... -400 meV/atom

```
AcTlAgAu
1.0
5.305 0.000 0.000
2.653 4.594 0.000
2.653 1.531 4.332
Ac Au Tl Ag
1 1 1 1
Cartesian
0.000 0.000 0.000
7.958 4.594 3.249
5.305 3.063 2.166
2.653 1.531 1.083
```

# 19
The following is a PBE-GGA calculation of a relaxed Ac2TbTe2N2 crystal, from the Alexandria database.

## Properties
E ... -6.4241 eV/atom
Magnetization ... 0.0 μB/f.u.
Formation energy without anion corrections ... -30.3 kcal/mol of atoms

```
Ac2TbTe2N2
1.0
4.570 0.000 0.000
0.000 4.570 0.000
-2.285 -2.285 8.542
Ac Tb Te N
2 1 2 2
Cartesian
0.000 0.000 6.736
2.285 2.285 1.807
0.000 0.000 0.000
0.000 0.000 3.120
2.285 2.285 5.422
0.000 2.285 0.000
2.285 0.000 0.000
```

# 20
The following is a PBE-GGA calculation of a relaxed SrAg2Rh crystal, from the Alexandria database.

## Properties
Energy above the lowest structure with this stoichiometry ... 0.1699 eV/atom
E ... -3.5907 eV/atom
Magnetization ... 0.0 μB/f.u.
Energy of formation from the pure elements ... 93 meV/atom

```
SrAg2Rh
1.0
-0.636 2.697 -3.952
-3.097 0.894 1.108
0.898 4.522 2.941
Ag Rh Sr
2 1 1
Cartesian
-0.221 0.242 0.201
-0.878 2.465 1.823
-0.868 2.702 -0.964
-1.967 5.410 1.061
```

# 21
The following is a PBE-GGA calculation of a relaxed Fe2TeCl crystal, from the Alexandria database.

## Properties
Energy above the lowest structure with this stoichiometry ... 0.5998 eV/atom
E ... -5.0354 eV/atom
Magnetization ... 6.1 μB/f.u.
Formation energy without anion corrections ... 10.2 kcal/mol of atoms

```
Fe2TeCl
1.0
5.316 -0.005 0.009
0.523 5.290 -0.009
-1.482 -4.231 2.857
Te Fe Cl
1 2 1
Cartesian
3.377 -0.797 1.433
0.091 0.083 0.000
2.828 2.560 0.000
0.980 1.851 1.424
```